## LaCe5Sb3 (GGA-PBE)

Data for LaCe5Sb3 after structural relaxation.

It has space group P6_3/mcm (No. 193), with a = 9.5055 Å, b = 9.5055 Å, c = 6.5229 Å, α = 90.00°, β = 90.00° and γ = 120.00°. The asymmetric unit holds La at (0.0000, 0.0000, 0.0000), Ce at (0.0000, 0.3388, 0.2500), Ce at (0.3333, 0.6667, 0.0000) and Sb at (0.0000, 0.3317, 0.7500).

Its raw formation energy is -15.71 kcal/mol of atoms. For the calculated density, the calculation gives 7.8 g/cm³.